A geometry-optimized KSr4Cr structure. Source: the Alexandria database, functional GGA-PBEsol.

Cell lengths 7.5651, 7.5651, 7.5651 Å; angles 60.00, 60.00, 60.00 degrees
With the nearest neighbours (Å) after each atom.
Fractional coordinates of all 6 atoms:
K 0.0000 0.0000 0.0000  12 Sr 4.44, 4 Cr 4.63
Sr 0.3757 0.3757 0.3757  6 Sr 3.76-3.80
Sr 0.3757 0.3757 0.8728  6 Sr 3.76-3.80
Sr 0.3757 0.8728 0.3757  6 Sr 3.76-3.80
Sr 0.8728 0.3757 0.3757  6 Sr 3.76-3.80
Cr 0.7500 0.7500 0.7500  12 Sr 4.43, 4 K 4.63

Summary:
formation energy from the elements: 0.74 eV/atom
D(E_F): 6.80 states/eV per cell
theoretical density: 2.4 Mg/m³
final energy: -14.29 eV per formula unit